Entry 1:
Material: PaOsNO
Method: DFT, PBE
State: optimized geometry Values from VASP.

- Final energy: -0.325 Ha/atom
- Polymorph energy (0 for the lowest one): 596.5 meV per atom

Cell and atoms, written as Quantum ESPRESSO input:
```
&SYSTEM
  ibrav = 0, nat = 8, ntyp = 4
/
ATOMIC_SPECIES
Pa 231.04 Pa.upf
Os 190.23 Os.upf
N 14.01 N.upf
O 16.00 O.upf
ATOMIC_POSITIONS crystal
Pa 0.000 0.201 0.000
Pa 0.000 0.799 0.500
Os 0.500 0.280 0.439
Os 0.500 0.720 0.939
N 0.500 0.414 0.138
N 0.500 0.586 0.638
O 0.000 0.174 0.627
O 0.000 0.826 0.127
CELL_PARAMETERS angstrom
3.486 0.000 0.000
0.000 5.594 0.000
0.000 0.000 6.016
```

***

Entry 2:
Material: CsSmSO
Method: DFT, PBE
State: optimized geometry Values from VASP.

- Final energy: -0.209 Ha/atom
- Polymorph energy (0 for the lowest one): 165.0 meV per atom

Cell and atoms, written as Quantum ESPRESSO input:
```
&SYSTEM
  ibrav = 0, nat = 16, ntyp = 4
/
ATOMIC_SPECIES
Cs 132.91 Cs.upf
Sm 150.36 Sm.upf
S 32.06 S.upf
O 16.00 O.upf
ATOMIC_POSITIONS crystal
Cs 0.114 0.101 0.000
Cs 0.386 0.101 0.500
Cs 0.614 0.899 0.000
Cs 0.886 0.899 0.500
Sm 0.073 0.634 0.000
Sm 0.427 0.634 0.500
Sm 0.573 0.366 0.000
Sm 0.927 0.366 0.500
S 0.106 0.605 0.500
S 0.394 0.605 0.000
S 0.606 0.395 0.500
S 0.894 0.395 0.000
O 0.032 0.179 0.499
O 0.468 0.179 0.999
O 0.532 0.821 0.499
O 0.968 0.821 0.999
CELL_PARAMETERS angstrom
8.795 0.000 0.000
0.000 9.702 0.000
0.000 0.000 5.714
```

***

Entry 3:
Material: Gd2Si4NiPt
Method: DFT, PBE
State: optimized geometry Values from VASP.

- Final energy: -0.229 Ha/atom

Cell and atoms, written as Quantum ESPRESSO input:
```
&SYSTEM
  ibrav = 0, nat = 8, ntyp = 4
/
ATOMIC_SPECIES
Gd 157.25 Gd.upf
Si 28.09 Si.upf
Ni 58.69 Ni.upf
Pt 195.08 Pt.upf
ATOMIC_POSITIONS crystal
Gd 0.000 0.000 0.000
Gd 0.500 0.207 0.207
Si 0.000 0.362 0.362
Si 0.000 0.640 0.640
Si 0.500 0.565 0.565
Si 0.500 0.862 0.862
Ni 0.500 0.429 0.429
Pt 0.000 0.783 0.783
CELL_PARAMETERS angstrom
4.098 0.000 0.000
0.000 2.052 8.336
0.000 -2.052 8.336
```